# MgZr3Cu

A geometry-optimized MgZr3Cu structure (PBE, Alexandria via LeMat-Bulk).

Cell: 4.961 4.961 4.961 Å, 90.00 90.00 90.00°
Sites, in units of the cell vectors:
1 Mg 0.000 0.000 0.000
2 Zr 0.000 0.500 0.500
3 Zr 0.500 0.000 0.500
4 Zr 0.500 0.500 0.000
5 Cu 0.500 0.500 0.500

Spin magnetization: 0.00 μB per cell
Excess energy over the best structure of this formula in the dataset: 0 meV/atom
Formation enthalpy at 0 K: 452 meV per atom